a:
Compound: Cs3MoBr8
Source: Alexandria
Functional: PBE-GGA
Structure: optimized geometry

Calculated values
The crystal system is hexagonal. The calculation puts the density at 3.85 Mg/m³. The value obtained for the total magnetization is 2.0 Bohr magnetons per cell.

Unit cell a=10.789 b=10.789 c=9.712 alpha=90.00 beta=90.00 gamma=120.00
Element x y z (fractional)
Cs: 0.153 0.306 0.000
Cs: 0.153 0.847 0.000
Cs: 0.306 0.153 0.500
Cs: 0.694 0.847 0.000
Cs: 0.847 0.153 0.500
Cs: 0.847 0.694 0.500
Mo: 0.333 0.667 0.439
Mo: 0.667 0.333 0.939
Br: 0.000 0.000 0.254
Br: 0.000 0.000 0.754
Br: 0.113 0.556 0.290
Br: 0.224 0.448 0.592
Br: 0.224 0.776 0.592
Br: 0.333 0.667 0.925
Br: 0.444 0.556 0.290
Br: 0.444 0.887 0.290
Br: 0.448 0.224 0.092
Br: 0.552 0.776 0.592
Br: 0.556 0.113 0.790
Br: 0.556 0.444 0.790
Br: 0.667 0.333 0.425
Br: 0.776 0.224 0.092
Br: 0.776 0.552 0.092
Br: 0.887 0.444 0.790

---

b:
Compound: Cs3MoBr8
Source: Alexandria
Functional: PBE-GGA
Structure: optimized geometry

Calculated values
The crystal system is tetragonal. The calculation puts the density at 3.75 Mg/m³. The value obtained for the total magnetization is 2.3 Bohr magnetons per cell.

Unit cell a=9.641 b=9.641 c=9.641 alpha=130.78 beta=130.78 gamma=72.17
Element x y z (fractional)
Cs: 0.000 0.000 0.000
Cs: 0.250 0.750 0.500
Cs: 0.750 0.250 0.500
Mo: 0.500 0.500 0.000
Br: 0.196 0.196 0.599
Br: 0.196 0.597 0.000
Br: 0.403 0.403 0.599
Br: 0.403 0.804 0.000
Br: 0.597 0.196 0.000
Br: 0.597 0.597 0.401
Br: 0.804 0.403 0.000
Br: 0.804 0.804 0.401

---

On energetic grounds, a is preferred over the next structure by 21.2 kJ/mol of atoms.